Entry from the Alexandria database: crystalline NaPmPt2 at its relaxed geometry (PBE-GGA).

Computed properties:
- ΔE_f: -0.675 eV/atom
- Total DFT energy (no corrections): -20.8 eV/cell
- Mass density: 11.3 g/cm3
- Crystal system: tetragonal
- Fermi-level density of states: 1.1 states/eV per cell

Unit cell a=3.678 b=3.678 c=6.048 alpha=90.00 beta=90.00 gamma=90.00
Element x y z (fractional)
Pm 0.500 0.500 0.000
Pt 0.000 0.000 0.257
Pt 0.000 0.000 0.743
Na 0.500 0.500 0.500